(1)
This record from the Alexandria database describes a relaxed Nd2Sm5Tm crystal. The functional is PBE-GGA.

E_form   16 meV per atom
Calculated density   7.47 Mg/m³
SG   No. 55

a = 5.1087 Å, b = 7.2501 Å, c = 14.5158 Å
α = 90.00°, β = 90.00°, γ = 90.00°
Last column: nearest neighbours and their distance in Å.
Positions (direct):
Nd (0.5000, 0.2487, 0.6243)  10 Sm 3.61-3.65, 2 Tm 3.61
Nd (0.5000, 0.7513, 0.3757)  10 Sm 3.61-3.65, 2 Tm 3.61
Nd (0.5000, 0.2513, 0.1243)  10 Sm 3.61-3.65, 2 Tm 3.61
Nd (0.5000, 0.7487, 0.8757)  10 Sm 3.61-3.65, 2 Tm 3.61
Sm (0.0000, 0.0000, 0.0000)  6 Sm 3.61-3.65, 4 Nd 3.62, 2 Tm 3.63
Sm (0.0000, 0.5000, 0.5000)  6 Sm 3.61-3.65, 4 Nd 3.62, 2 Tm 3.63
Sm (0.0000, 0.4986, 0.7511)  1 Tm 3.61, 7 Sm 3.61-3.65, 4 Nd 3.62-3.63
Sm (0.0000, 0.5014, 0.2489)  1 Tm 3.61, 7 Sm 3.61-3.65, 4 Nd 3.62-3.63
Sm (0.0000, 0.0014, 0.2511)  1 Tm 3.61, 7 Sm 3.61-3.65, 4 Nd 3.62-3.63
Sm (0.0000, 0.9986, 0.7489)  1 Tm 3.61, 7 Sm 3.61-3.65, 4 Nd 3.62-3.63
Sm (0.5000, 0.2490, 0.8757)  4 Nd 3.61-3.65, 6 Sm 3.61-3.63, 2 Tm 3.62
Sm (0.5000, 0.7510, 0.1243)  4 Nd 3.61-3.65, 6 Sm 3.61-3.63, 2 Tm 3.62
Sm (0.5000, 0.2510, 0.3757)  4 Nd 3.61-3.65, 6 Sm 3.61-3.63, 2 Tm 3.62
Sm (0.5000, 0.7490, 0.6243)  4 Nd 3.61-3.65, 6 Sm 3.61-3.63, 2 Tm 3.62
Tm (0.0000, 0.0000, 0.5000)  4 Nd 3.61, 8 Sm 3.61-3.63
Tm (0.0000, 0.5000, 0.0000)  4 Nd 3.61, 8 Sm 3.61-3.63


(2)
This record from the Alexandria database describes a relaxed LaCeIr crystal. The functional is PBE-GGA.

E_form   -474 meV per atom
Offset from the most stable computed form   0.064 eV per atom
Calculated density   9.15 Mg/m³
SG   No. 216

a = 4.9451 Å, b = 4.9451 Å, c = 4.9451 Å
α = 60.00°, β = 60.00°, γ = 60.00°
Last column: nearest neighbours and their distance in Å.
Positions (direct):
Ir (0.2500, 0.2500, 0.2500)  4 La 3.03, 4 Ce 3.03
Ce (0.5000, 0.5000, 0.5000)  4 Ir 3.03
La (0.0000, 0.0000, 0.0000)  4 Ir 3.03


(3)
This record from the Alexandria database describes a relaxed MnCr2Re crystal. The functional is PBE-GGA.

E_form   71 meV per atom
Calculated density   11.39 Mg/m³
SG   No. 10

a = 4.1263 Å, b = 2.5500 Å, c = 4.8511 Å
α = 80.26°, β = 90.00°, γ = 90.00°
Last column: nearest neighbours and their distance in Å.
Positions (direct):
Cr (0.0000, 0.9826, 0.0109)  4 Cr 2.42-2.66, 2 Mn 2.52, 2 Re 2.54
Cr (0.0000, 0.5174, 0.4891)  4 Cr 2.42-2.66, 2 Mn 2.52, 2 Re 2.54
Mn (0.5000, 0.2500, 0.2500)  4 Cr 2.52, 2 Re 2.54, 2 Mn 2.55
Re (0.5000, 0.7500, 0.7500)  2 Mn 2.54, 4 Cr 2.54, 2 Re 2.55


(4)
This record from the Alexandria database describes a relaxed Zr2Sb2F crystal. The functional is PBE-GGA.

Formation energy (no corrections)   -1.01 eV/atom
Offset from the most stable computed form   0.000 eV per atom
Calculated density   6.74 Mg/m³
SG   No. 127

a = 7.4279 Å, b = 7.4279 Å, c = 3.9766 Å
α = 90.00°, β = 90.00°, γ = 90.00°
Last column: nearest neighbours and their distance in Å.
Positions (direct):
Sb (0.1470, 0.6470, 0.5000)  6 Zr 2.87-3.00, 1 Sb 3.09
Sb (0.6470, 0.8530, 0.5000)  6 Zr 2.87-3.00, 1 Sb 3.09
Sb (0.8530, 0.3530, 0.5000)  6 Zr 2.87-3.00, 1 Sb 3.09
Sb (0.3530, 0.1470, 0.5000)  6 Zr 2.87-3.00, 1 Sb 3.09
Zr (0.3446, 0.8446, 0.0000)  2 F 2.81, 6 Sb 2.87-3.00
Zr (0.8446, 0.6554, 0.0000)  2 F 2.81, 6 Sb 2.87-3.00
Zr (0.6554, 0.1554, 0.0000)  2 F 2.81, 6 Sb 2.87-3.00
Zr (0.1554, 0.3446, 0.0000)  2 F 2.81, 6 Sb 2.87-3.00
F (0.0000, 0.0000, 0.0000)  4 Zr 2.81
F (0.5000, 0.5000, 0.0000)  4 Zr 2.81


(5)
This record from the Alexandria database describes a relaxed Mg2AgHg2 crystal. The functional is PBE-GGA.

E_form   -104 meV per atom
Offset from the most stable computed form   0.025 eV per atom
Calculated density   8.44 Mg/m³
SG   No. 72

a = 5.5834 Å, b = 5.8819 Å, c = 7.8187 Å
α = 112.09°, β = 110.92°, γ = 90.00°
Last column: nearest neighbours and their distance in Å.
Positions (direct):
Mg (0.3266, 0.4974, 0.6532)  4 Hg 2.87-3.11, 2 Ag 2.89
Mg (0.6734, 0.5026, 0.3468)  4 Hg 2.87-3.11, 2 Ag 2.89
Mg (0.1734, 0.8441, 0.3468)  4 Hg 2.87-3.11, 2 Ag 2.89
Mg (0.8266, 0.1559, 0.6532)  4 Hg 2.87-3.11, 2 Ag 2.89
Ag (0.7500, 0.5000, 0.0000)  2 Ag 2.79, 4 Mg 2.89, 4 Hg 2.94
Ag (0.2500, 0.5000, 0.0000)  2 Ag 2.79, 4 Mg 2.89, 4 Hg 2.94
Hg (0.8879, 0.7465, 0.7759)  4 Mg 2.87-3.11, 2 Ag 2.94
Hg (0.1121, 0.2535, 0.2241)  4 Mg 2.87-3.11, 2 Ag 2.94
Hg (0.6121, 0.9707, 0.2241)  4 Mg 2.87-3.11, 2 Ag 2.94
Hg (0.3879, 0.0293, 0.7759)  4 Mg 2.87-3.11, 2 Ag 2.94


(6)
This record from the Alexandria database describes a relaxed SrAc2Ag3 crystal. The functional is PBE-GGA.

E_form   -263 meV per atom
Calculated density   7.73 Mg/m³
SG   No. 123

a = 3.9358 Å, b = 3.9358 Å, c = 12.0054 Å
α = 90.00°, β = 90.00°, γ = 90.00°
Last column: nearest neighbours and their distance in Å.
Positions (direct):
Sr (0.5000, 0.5000, 0.5000)  8 Ag 3.47
Ac (0.5000, 0.5000, 0.8320)  8 Ag 3.38-3.44
Ac (0.5000, 0.5000, 0.1680)  8 Ag 3.38-3.44
Ag (0.0000, 0.0000, 0.0000)  8 Ac 3.44
Ag (0.0000, 0.0000, 0.6724)  4 Ac 3.38, 4 Sr 3.47
Ag (0.0000, 0.0000, 0.3276)  4 Ac 3.38, 4 Sr 3.47


(7)
This record from the Alexandria database describes a relaxed LaP2Rh7Pb2 crystal. The functional is PBE-GGA.

E_form   -392 meV per atom
Calculated density   10.25 Mg/m³
SG   No. 12

a = 4.4805 Å, b = 4.4805 Å, c = 10.9191 Å
α = 87.45°, β = 87.45°, γ = 81.31°
Last column: nearest neighbours and their distance in Å.
Positions (direct):
La (0.0000, 0.0000, 0.0000)  10 Rh 2.92-3.07
P (0.5259, 0.5259, 0.7669)  5 Rh 2.24-2.33
P (0.4741, 0.4741, 0.2331)  5 Rh 2.24-2.33
Rh (0.5000, 0.5000, 0.0000)  2 P 2.54
Rh (0.3240, 0.3240, 0.4210)  1 P 2.24
Rh (0.6760, 0.6760, 0.5790)  1 P 2.24
Rh (0.9748, 0.4661, 0.1842)  2 P 2.28-2.33
Rh (0.4661, 0.9748, 0.1842)  2 P 2.28-2.33
Rh (0.5339, 0.0252, 0.8158)  2 P 2.28-2.33
Rh (0.0252, 0.5339, 0.8158)  2 P 2.28-2.33
Pb (0.9250, 0.9250, 0.3629)  8 Rh 2.82-3.07
Pb (0.0750, 0.0750, 0.6371)  8 Rh 2.82-3.07


(8)
This record from the Alexandria database describes a relaxed NaAl3NiCl12 crystal. The functional is PBE-GGA.

Formation energy (no corrections)   -1.41 eV/atom
Calculated density   1.83 Mg/m³
SG   No. 14

a = 12.4549 Å, b = 13.8797 Å, c = 12.9172 Å
α = 107.08°, β = 90.00°, γ = 90.00°
Last column: nearest neighbours and their distance in Å.
Positions (direct):
Na (0.2013, 0.7152, 0.4981)  6 Cl 2.83-3.08
Na (0.7987, 0.2848, 0.5019)  6 Cl 2.83-3.08
Na (0.2987, 0.7152, 0.9981)  6 Cl 2.83-3.08
Na (0.7013, 0.2848, 0.0019)  6 Cl 2.83-3.08
Al (0.9780, 0.2770, 0.8072)  4 Cl 2.14-2.20
Al (0.7572, 0.0163, 0.3741)  4 Cl 2.13-2.19
Al (0.0944, 0.3923, 0.3310)  4 Cl 2.13-2.19
Al (0.4780, 0.7230, 0.6928)  4 Cl 2.14-2.20
Al (0.7428, 0.0163, 0.8741)  4 Cl 2.13-2.19
Al (0.4056, 0.3923, 0.8310)  4 Cl 2.13-2.19
Al (0.5944, 0.6077, 0.1690)  4 Cl 2.13-2.19
Al (0.9056, 0.6077, 0.6690)  4 Cl 2.13-2.19
Al (0.5220, 0.2770, 0.3072)  4 Cl 2.14-2.20
Al (0.2572, 0.9837, 0.1259)  4 Cl 2.13-2.19
Al (0.0220, 0.7230, 0.1928)  4 Cl 2.14-2.20
Al (0.2428, 0.9837, 0.6259)  4 Cl 2.13-2.19
Ni (0.7275, 0.7816, 0.7404)  6 Cl 2.41-2.45
Ni (0.2275, 0.2184, 0.7596)  6 Cl 2.41-2.45
Ni (0.2725, 0.2184, 0.2596)  6 Cl 2.41-2.45
Ni (0.7725, 0.7816, 0.2404)  6 Cl 2.41-2.45
Cl (0.1064, 0.3533, 0.7457)  1 Al 2.19, 1 Ni 2.45
Cl (0.6264, 0.7184, 0.3263)  1 Al 2.19, 1 Ni 2.43
Cl (0.3286, 0.0724, 0.7707)  1 Al 2.19, 1 Ni 2.43
Cl (0.8314, 0.8896, 0.4165)  1 Al 2.19, 1 Ni 2.44
Cl (0.8936, 0.6467, 0.2543)  1 Al 2.19, 1 Ni 2.45
Cl (0.9284, 0.3974, 0.3725)  1 Al 2.13
Cl (0.6064, 0.6467, 0.7543)  1 Al 2.19, 1 Ni 2.45
Cl (0.0808, 0.1683, 0.8546)  1 Al 2.20, 1 Ni 2.41
Cl (0.1521, 0.8957, 0.0047)  1 Al 2.13
Cl (0.4284, 0.6026, 0.1275)  1 Al 2.13
Cl (0.3736, 0.2816, 0.6736)  1 Al 2.19, 1 Ni 2.43
Cl (0.8736, 0.7184, 0.8264)  1 Al 2.19, 1 Ni 2.43
Cl (0.3936, 0.3533, 0.2457)  1 Al 2.19, 1 Ni 2.45
Cl (0.9192, 0.8317, 0.1454)  1 Al 2.20, 1 Ni 2.41
Cl (0.8440, 0.4648, 0.6732)  1 Al 2.14
Cl (0.3479, 0.8957, 0.5047)  1 Al 2.13
Cl (0.1297, 0.7991, 0.3190)  1 Al 2.14
Cl (0.3046, 0.3244, 0.9296)  1 Al 2.19, 1 Ni 2.45
Cl (0.3440, 0.5352, 0.8268)  1 Al 2.14
Cl (0.6954, 0.6756, 0.0704)  1 Al 2.19, 1 Ni 2.45
Cl (0.1954, 0.3244, 0.4296)  1 Al 2.19, 1 Ni 2.45
Cl (0.6686, 0.8896, 0.9165)  1 Al 2.19, 1 Ni 2.44
Cl (0.1241, 0.8857, 0.6598)  1 Al 2.14
Cl (0.1046, 0.6275, 0.0557)  1 Al 2.14
Cl (0.1686, 0.1104, 0.5835)  1 Al 2.19, 1 Ni 2.44
Cl (0.1560, 0.5352, 0.3268)  1 Al 2.14
Cl (0.1714, 0.0724, 0.2707)  1 Al 2.19, 1 Ni 2.43
Cl (0.8954, 0.3725, 0.9443)  1 Al 2.14
Cl (0.3703, 0.7991, 0.8190)  1 Al 2.14
Cl (0.6241, 0.1143, 0.8402)  1 Al 2.14
Cl (0.6046, 0.3725, 0.4443)  1 Al 2.14
Cl (0.8703, 0.2009, 0.6810)  1 Al 2.14
Cl (0.8479, 0.1043, 0.9953)  1 Al 2.13
Cl (0.8759, 0.1143, 0.3402)  1 Al 2.14
Cl (0.4192, 0.1683, 0.3546)  1 Al 2.20, 1 Ni 2.41
Cl (0.3759, 0.8857, 0.1598)  1 Al 2.14
Cl (0.3314, 0.1104, 0.0835)  1 Al 2.19, 1 Ni 2.44
Cl (0.6521, 0.1043, 0.4953)  1 Al 2.13
Cl (0.8046, 0.6756, 0.5704)  1 Al 2.19, 1 Ni 2.45
Cl (0.8286, 0.9276, 0.7293)  1 Al 2.19, 1 Ni 2.43
Cl (0.6560, 0.4648, 0.1732)  1 Al 2.14
Cl (0.5716, 0.3974, 0.8725)  1 Al 2.13
Cl (0.5808, 0.8317, 0.6454)  1 Al 2.20, 1 Ni 2.41
Cl (0.3954, 0.6275, 0.5557)  1 Al 2.14
Cl (0.6714, 0.9276, 0.2293)  1 Al 2.19, 1 Ni 2.43
Cl (0.6297, 0.2009, 0.1810)  1 Al 2.14
Cl (0.1264, 0.2816, 0.1736)  1 Al 2.19, 1 Ni 2.43
Cl (0.0716, 0.6026, 0.6275)  1 Al 2.13


(9)
This record from the Alexandria database describes a relaxed Tb3NdTl2 crystal. The functional is PBE-GGA.

E_form   -176 meV per atom
Offset from the most stable computed form   0.096 eV per atom
Calculated density   9.35 Mg/m³
SG   No. 12

a = 5.4231 Å, b = 9.3497 Å, c = 9.3418 Å
α = 124.40°, β = 90.00°, γ = 106.86°
Last column: nearest neighbours and their distance in Å.
Positions (direct):
Tb (0.3063, 0.6126, 0.6059)  2 Tl 3.06-3.40, 2 Tb 3.26
Tb (0.9403, 0.8806, 0.5952)  3 Tl 3.39-3.41, 6 Tb 3.50-3.66, 1 Nd 3.78
Tb (0.6163, 0.2327, 0.6910)  3 Tl 3.01-3.14
Tb (0.3837, 0.7673, 0.3090)  3 Tl 3.01-3.14
Tb (0.0597, 0.1194, 0.4048)  3 Tl 3.39-3.41, 6 Tb 3.50-3.66, 1 Nd 3.78
Tb (0.6937, 0.3874, 0.3941)  2 Tl 3.06-3.40, 2 Tb 3.26
Nd (0.8694, 0.7388, 0.9112)  5 Tl 3.29-3.58, 2 Tb 3.60
Nd (0.1306, 0.2612, 0.0888)  5 Tl 3.29-3.58, 2 Tb 3.60
Tl (0.5180, 0.0361, 0.8645)  1 Tl 2.96, 2 Tb 3.01-3.06, 2 Nd 3.29
Tl (0.4820, 0.9639, 0.1355)  1 Tl 2.96, 2 Tb 3.01-3.06, 2 Nd 3.29
Tl (0.7771, 0.5542, 0.1476)  5 Tb 3.14-3.46, 1 Nd 3.45
Tl (0.2229, 0.4458, 0.8524)  5 Tb 3.14-3.46, 1 Nd 3.45


(10)
This record from the Alexandria database describes a relaxed LiZn3 crystal. The functional is PBE-GGA.

E_form   -95 meV per atom
Calculated density   5.68 Mg/m³
SG   No. 65

a = 4.8655 Å, b = 4.8655 Å, c = 2.6924 Å
α = 90.00°, β = 90.00°, γ = 111.32°
Last column: nearest neighbours and their distance in Å.
Positions (direct):
Zn (0.0000, 0.5000, 0.5000)  8 Zn 2.69-2.78, 4 Li 2.78
Zn (0.5000, 0.0000, 0.5000)  8 Zn 2.69-2.78, 4 Li 2.78
Zn (0.5000, 0.5000, 0.0000)  10 Zn 2.69-2.78, 2 Li 2.74
Li (0.0000, 0.0000, 0.0000)  2 Li 2.69, 10 Zn 2.74-2.78


(11)
This record from the Alexandria database describes a relaxed Pr2In2Pt15 crystal. The functional is PBE-GGA.

E_form   -503 meV per atom
Calculated density   16.44 Mg/m³
SG   No. 166

a = 7.0699 Å, b = 7.0699 Å, c = 7.0699 Å
α = 83.59°, β = 83.59°, γ = 83.59°
Last column: nearest neighbours and their distance in Å.
Positions (direct):
Pr (0.3535, 0.3535, 0.3535)  12 Pt 3.23-3.40, 1 In 3.37
Pr (0.6465, 0.6465, 0.6465)  12 Pt 3.23-3.40, 1 In 3.37
In (0.1044, 0.1044, 0.1044)  1 In 2.83, 6 Pt 2.85-2.91
In (0.8956, 0.8956, 0.8956)  1 In 2.83, 6 Pt 2.85-2.91
Pt (0.5000, 0.0000, 0.0000)  8 Pt 2.71-2.74, 2 In 2.85
Pt (0.0000, 0.0000, 0.5000)  8 Pt 2.71-2.74, 2 In 2.85
Pt (0.0000, 0.5000, 0.0000)  8 Pt 2.71-2.74, 2 In 2.85
Pt (0.0000, 0.6816, 0.3184)  8 Pt 2.71-3.00
Pt (0.6816, 0.3184, 0.0000)  8 Pt 2.71-3.00
Pt (0.3184, 0.0000, 0.6816)  8 Pt 2.71-3.00
Pt (0.3184, 0.6816, 0.0000)  8 Pt 2.71-3.00
Pt (0.6816, 0.0000, 0.3184)  8 Pt 2.71-3.00
Pt (0.0000, 0.3184, 0.6816)  8 Pt 2.71-3.00
Pt (0.1635, 0.6574, 0.6574)  8 Pt 2.69-2.80, 1 In 2.91
Pt (0.6574, 0.6574, 0.1635)  8 Pt 2.69-2.80, 1 In 2.91
Pt (0.6574, 0.1635, 0.6574)  8 Pt 2.69-2.80, 1 In 2.91
Pt (0.8365, 0.3426, 0.3426)  8 Pt 2.69-2.80, 1 In 2.91
Pt (0.3426, 0.3426, 0.8365)  8 Pt 2.69-2.80, 1 In 2.91
Pt (0.3426, 0.8365, 0.3426)  8 Pt 2.69-2.80, 1 In 2.91


(12)
This record from the Alexandria database describes a relaxed AlBiMo3 crystal. The functional is PBE-GGA.

E_form   2378 meV per atom
Offset from the most stable computed form   1.001 eV per atom
Calculated density   6.98 Mg/m³
SG   No. 221

a = 4.9957 Å, b = 4.9957 Å, c = 4.9957 Å
α = 90.00°, β = 90.00°, γ = 90.00°
Last column: nearest neighbours and their distance in Å.
Positions (direct):
Mo (0.0000, 0.5000, 0.0000)  2 Bi 2.50
Mo (0.0000, 0.0000, 0.5000)  2 Bi 2.50
Mo (0.5000, 0.0000, 0.0000)  2 Bi 2.50
Bi (0.0000, 0.0000, 0.0000)  6 Mo 2.50
Al (0.5000, 0.5000, 0.5000)  12 Mo 3.53


Raw total energy? In order: -37.5; -21.1; -40.6; -32.2; -7.2; -20.0; -79.3; -64.5; -24.4; -6.1; -115.2; -28.2 eV/f.u..